Record 1
The following is a PBE calculation of a relaxed ReRuPt2 crystal, from Alexandria via LeMat-Bulk.

Unit cell a=4.834 b=4.834 c=2.740 alpha=90.00 beta=90.00 gamma=111.27
Element x y z (fractional)
1 Re 0.000 0.000 0.000
2 Ru 0.500 0.500 0.000
3 Pt 0.000 0.500 0.500
4 Pt 0.500 0.000 0.500

Summary:
* density: 18.86 g cm⁻³
* final energy: -8.42 eV per atom
* energy of formation from the pure elements: 0.03 eV/atom
* D(E_F): 4.7 states/eV per cell

=====

Record 2
The following is a PBE calculation of a relaxed ReRu4Pt crystal, from Alexandria via LeMat-Bulk.

Unit cell a=5.028 b=5.028 c=5.028 alpha=60.00 beta=60.00 gamma=60.00
Element x y z (fractional)
1 Re 0.000 0.000 0.000
2 Ru 0.126 0.625 0.625
3 Ru 0.625 0.126 0.625
4 Ru 0.625 0.625 0.126
5 Ru 0.625 0.625 0.625
6 Pt 0.250 0.250 0.250

Summary:
* density: 14.51 g cm⁻³
* final energy: -8.75 eV per atom
* energy of formation from the pure elements: 0.51 eV/atom
* D(E_F): 9.3 states/eV per cell

=====

Record 3
The following is a PBE calculation of a relaxed ReRuPt2 crystal, from Alexandria via LeMat-Bulk.

Unit cell a=4.752 b=4.752 c=2.715 alpha=90.00 beta=90.00 gamma=90.00
Element x y z (fractional)
1 Re 0.000 0.000 0.000
2 Ru 0.500 0.500 0.000
3 Pt 0.000 0.500 0.500
4 Pt 0.500 0.000 0.500

Summary:
* density: 18.35 g cm⁻³
* final energy: -8.18 eV per atom
* energy of formation from the pure elements: 0.27 eV/atom
* D(E_F): 5.1 states/eV per cell

=====

Record 4
The following is a PBE calculation of a relaxed ReRuPt4 crystal, from Alexandria via LeMat-Bulk.

Unit cell a=5.164 b=5.164 c=5.164 alpha=60.00 beta=60.00 gamma=60.00
Element x y z (fractional)
1 Re 0.000 0.000 0.000
2 Ru 0.750 0.750 0.750
3 Pt 0.375 0.375 0.375
4 Pt 0.375 0.375 0.875
5 Pt 0.375 0.875 0.375
6 Pt 0.875 0.375 0.375

Summary:
* density: 18.21 g cm⁻³
* final energy: -7.11 eV per atom
* energy of formation from the pure elements: 0.54 eV/atom
* D(E_F): 5.7 states/eV per cell

=====

Record 5
The following is a PBE calculation of a relaxed Re3RuPt crystal, from Alexandria via LeMat-Bulk.

Unit cell a=4.596 b=4.596 c=4.596 alpha=90.00 beta=90.00 gamma=90.00
Element x y z (fractional)
1 Re 0.000 0.000 0.500
2 Re 0.000 0.500 0.000
3 Re 0.500 0.000 0.000
4 Ru 0.000 0.000 0.000
5 Pt 0.500 0.500 0.500

Summary:
* density: 14.62 g cm⁻³
* final energy: -8.36 eV per atom
* energy of formation from the pure elements: 2.17 eV/atom
* D(E_F): 6.2 states/eV per cell

=====

Record 6
The following is a PBE calculation of a relaxed ReRu3Pt crystal, from Alexandria via LeMat-Bulk.

Unit cell a=6.106 b=3.867 c=6.129 alpha=90.00 beta=90.31 gamma=90.00
Element x y z (fractional)
1 Re 0.050 0.250 0.346
2 Re 0.950 0.750 0.654
3 Ru 0.141 0.750 0.059
4 Ru 0.241 0.250 0.740
5 Ru 0.340 0.750 0.449
6 Ru 0.660 0.250 0.551
7 Ru 0.759 0.750 0.260
8 Ru 0.859 0.250 0.941
9 Pt 0.449 0.250 0.153
10 Pt 0.551 0.750 0.847

Summary:
* density: 15.71 g cm⁻³
* final energy: -9.27 eV per atom
* energy of formation from the pure elements: -0.01 eV/atom
* D(E_F): 11.1 states/eV per cell

=====

Record 7
The following is a PBE calculation of a relaxed ReRuPt crystal, from Alexandria via LeMat-Bulk.

Unit cell a=4.350 b=4.350 c=2.769 alpha=90.00 beta=90.00 gamma=120.00
Element x y z (fractional)
1 Re 0.000 0.000 0.000
2 Ru 0.667 0.333 0.039
3 Pt 0.333 0.667 0.519

Summary:
* density: 17.65 g cm⁻³
* final energy: -9.10 eV per atom
* energy of formation from the pure elements: 0.15 eV/atom
* D(E_F): 3.7 states/eV per cell

=====

Record 8
The following is a PBE calculation of a relaxed ReRuPt2 crystal, from Alexandria via LeMat-Bulk.

Unit cell a=4.424 b=4.424 c=4.424 alpha=60.00 beta=60.00 gamma=60.00
Element x y z (fractional)
1 Re 0.000 0.000 0.000
2 Ru 0.500 0.500 0.500
3 Pt 0.250 0.250 0.250
4 Pt 0.750 0.750 0.750

Summary:
* density: 18.37 g cm⁻³
* final energy: -8.06 eV per atom
* energy of formation from the pure elements: 0.39 eV/atom
* D(E_F): 4.4 states/eV per cell

=====

Record 9
The following is a PBE calculation of a relaxed ReRu3Pt crystal, from Alexandria via LeMat-Bulk.

Unit cell a=4.631 b=4.631 c=4.631 alpha=90.00 beta=90.00 gamma=90.00
Element x y z (fractional)
1 Re 0.000 0.000 0.000
2 Ru 0.000 0.000 0.500
3 Ru 0.000 0.500 0.000
4 Ru 0.500 0.000 0.000
5 Pt 0.500 0.500 0.500

Summary:
* density: 11.44 g cm⁻³
* final energy: -7.52 eV per atom
* energy of formation from the pure elements: 1.74 eV/atom
* D(E_F): 5.6 states/eV per cell

=====

Record 10
The following is a PBE calculation of a relaxed ReRu4Pt crystal, from Alexandria via LeMat-Bulk.

Unit cell a=3.283 b=3.283 c=8.225 alpha=90.00 beta=90.00 gamma=90.00
Element x y z (fractional)
1 Re 0.000 0.000 0.000
2 Ru 0.000 0.000 0.328
3 Ru 0.000 0.000 0.672
4 Ru 0.500 0.500 0.163
5 Ru 0.500 0.500 0.837
6 Pt 0.500 0.500 0.500

Summary:
* density: 14.71 g cm⁻³
* final energy: -8.91 eV per atom
* energy of formation from the pure elements: 0.36 eV/atom
* D(E_F): 5.1 states/eV per cell

=====

Record 11
The following is a PBE calculation of a relaxed YReRuPt2 crystal, from Alexandria via LeMat-Bulk.

Unit cell a=4.884 b=4.884 c=4.642 alpha=90.00 beta=90.00 gamma=90.00
Element x y z (fractional)
1 Y 0.000 0.000 0.000
2 Re 0.500 0.500 0.500
3 Ru 0.500 0.500 0.000
4 Pt 0.000 0.500 0.500
5 Pt 0.500 0.000 0.500

Summary:
* density: 11.49 g cm⁻³
* final energy: -7.61 eV per atom
* energy of formation from the pure elements: 0.44 eV/atom
* D(E_F): 4.9 states/eV per cell

=====

Record 12
The following is a PBE calculation of a relaxed RePt2S crystal, from Alexandria via LeMat-Bulk.

Unit cell a=6.117 b=6.117 c=6.117 alpha=119.74 beta=119.74 gamma=90.45
Element x y z (fractional)
1 Re 0.000 0.000 0.000
2 Re 0.750 0.250 0.500
3 Pt 0.128 0.125 0.503
4 Pt 0.375 0.872 0.997
5 Pt 0.622 0.625 0.497
6 Pt 0.875 0.378 0.003
7 S 0.250 0.750 0.500
8 S 0.500 0.500 0.000

Summary:
* density: 12.44 g cm⁻³
* final energy: -6.55 eV per atom
* raw formation energy: 0.62 eV/atom
* D(E_F): 5.0 states/eV per cell

=====

Record 13
The following is a PBE calculation of a relaxed RePtS crystal, from Alexandria via LeMat-Bulk.

Unit cell a=2.920 b=6.030 c=6.070 alpha=114.79 beta=90.00 gamma=90.02
Element x y z (fractional)
1 Re 0.250 0.024 0.316
2 Re 0.750 0.976 0.684
3 Pt 0.247 0.304 0.064
4 Pt 0.753 0.696 0.936
5 S 0.249 0.690 0.410
6 S 0.751 0.310 0.590

Summary:
* density: 14.15 g cm⁻³
* final energy: -7.59 eV per atom
* raw formation energy: -0.05 eV/atom
* D(E_F): 3.7 states/eV per cell

=====

Record 14
The following is a PBE calculation of a relaxed ReSb2PtS crystal, from Alexandria via LeMat-Bulk.

Unit cell a=5.162 b=5.162 c=4.401 alpha=90.00 beta=90.00 gamma=90.00
Element x y z (fractional)
1 Re 0.000 0.000 0.000
2 Sb 0.000 0.500 0.500
3 Sb 0.500 0.000 0.500
4 Pt 0.500 0.500 0.000
5 S 0.500 0.500 0.500

Summary:
* density: 9.30 g cm⁻³
* final energy: -4.91 eV per atom
* raw formation energy: 1.26 eV/atom
* D(E_F): 2.8 states/eV per cell

=====

Record 15
The following is a PBE calculation of a relaxed Re2PtSeS crystal, from Alexandria via LeMat-Bulk.

Unit cell a=4.437 b=4.437 c=4.527 alpha=90.00 beta=90.00 gamma=90.00
Element x y z (fractional)
1 Re 0.000 0.500 0.000
2 Re 0.500 0.000 0.000
3 Pt 0.000 0.000 0.500
4 Se 0.500 0.500 0.500
5 S 0.000 0.000 0.000

Summary:
* density: 12.64 g cm⁻³
* final energy: -6.50 eV per atom
* raw formation energy: 1.21 eV/atom
* D(E_F): 5.4 states/eV per cell

=====

Record 16
The following is a PBE calculation of a relaxed SrRe2PtS crystal, from Alexandria via LeMat-Bulk.

Unit cell a=4.850 b=4.850 c=5.209 alpha=90.00 beta=90.00 gamma=90.00
Element x y z (fractional)
1 Sr 0.000 0.000 0.000
2 Re 0.000 0.500 0.500
3 Re 0.500 0.000 0.500
4 Pt 0.500 0.500 0.500
5 S 0.500 0.500 0.000

Summary:
* density: 9.31 g cm⁻³
* final energy: -6.01 eV per atom
* raw formation energy: 1.34 eV/atom
* D(E_F): 6.2 states/eV per cell

=====

Record 17
The following is a PBE calculation of a relaxed YRe2PtS crystal, from Alexandria via LeMat-Bulk.

Unit cell a=4.349 b=4.349 c=4.991 alpha=90.00 beta=90.00 gamma=90.00
Element x y z (fractional)
1 Y 0.000 0.000 0.000
2 Re 0.000 0.500 0.500
3 Re 0.500 0.000 0.500
4 Pt 0.500 0.500 0.000
5 S 0.000 0.000 0.500

Summary:
* density: 12.11 g cm⁻³
* final energy: -7.93 eV per atom
* raw formation energy: 0.37 eV/atom
* D(E_F): 5.0 states/eV per cell

=====

Record 18
The following is a PBE calculation of a relaxed ReSbPt2 crystal, from Alexandria via LeMat-Bulk.

Unit cell a=4.768 b=4.768 c=5.189 alpha=100.41 beta=100.41 gamma=36.30
Element x y z (fractional)
1 Re 0.000 0.000 0.000
2 Sb 0.746 0.746 0.288
3 Pt 0.257 0.257 0.798
4 Pt 0.503 0.503 0.553

Summary:
* density: 16.91 g cm⁻³
* final energy: -6.99 eV per atom
* raw formation energy: 0.17 eV/atom
* D(E_F): 2.4 states/eV per cell

=====

Record 19
The following is a PBE calculation of a relaxed ReSbPt2 crystal, from Alexandria via LeMat-Bulk.

Unit cell a=5.004 b=5.004 c=2.938 alpha=90.00 beta=90.00 gamma=113.47
Element x y z (fractional)
1 Re 0.000 0.000 0.000
2 Sb 0.500 0.500 0.000
3 Pt 0.000 0.500 0.500
4 Pt 0.500 0.000 0.500

Summary:
* density: 17.18 g cm⁻³
* final energy: -6.98 eV per atom
* raw formation energy: 0.18 eV/atom
* D(E_F): 3.0 states/eV per cell

=====

Record 20
The following is a PBE calculation of a relaxed ReSbPt2 crystal, from Alexandria via LeMat-Bulk.

Unit cell a=2.880 b=2.880 c=8.501 alpha=90.00 beta=90.00 gamma=90.00
Element x y z (fractional)
1 Re 0.000 0.000 0.000
2 Sb 0.000 0.000 0.500
3 Pt 0.500 0.500 0.215
4 Pt 0.500 0.500 0.785

Summary:
* density: 16.44 g cm⁻³
* final energy: -7.09 eV per atom
* raw formation energy: 0.08 eV/atom
* D(E_F): 2.6 states/eV per cell